Here is Sr3CaZn at its PBEsol-relaxed geometry from the Alexandria database. Energies are from meta-GGA SCAN. Values from VASP.

```
&SYSTEM
  ibrav = 0, nat = 5, ntyp = 3
/
ATOMIC_SPECIES
Sr 87.62 Sr.upf
Ca 40.08 Ca.upf
Zn 65.41 Zn.upf
CELL_PARAMETERS angstrom
6.610 0.000 0.000
0.000 6.610 0.000
0.000 0.000 6.610
ATOMIC_POSITIONS crystal
Sr 0.000 0.000 0.500
Sr 0.000 0.500 0.000
Sr 0.500 0.000 0.000
Ca 0.000 0.000 0.000
Zn 0.500 0.500 0.500
```

Computed properties:
**Symmetry**: Pm-3m, No. 221

Here is SrCaZn2 at its PBEsol-relaxed geometry from the Alexandria database. Energies are from meta-GGA SCAN. Values from VASP.

```
&SYSTEM
  ibrav = 0, nat = 4, ntyp = 3
/
ATOMIC_SPECIES
Sr 87.62 Sr.upf
Ca 40.08 Ca.upf
Zn 65.41 Zn.upf
CELL_PARAMETERS angstrom
3.618 0.000 0.000
0.000 3.618 0.000
0.000 0.000 8.275
ATOMIC_POSITIONS crystal
Sr 0.000 0.000 0.000
Ca 0.500 0.500 0.607
Zn 0.000 0.000 0.390
Zn 0.500 0.500 0.241
```

Computed properties:
**Symmetry**: P4mm, No. 99

Here is Sr2CaZn at its PBEsol-relaxed geometry from the Alexandria database. Energies are from meta-GGA SCAN. Values from VASP.

```
&SYSTEM
  ibrav = 0, nat = 4, ntyp = 3
/
ATOMIC_SPECIES
Sr 87.62 Sr.upf
Ca 40.08 Ca.upf
Zn 65.41 Zn.upf
CELL_PARAMETERS angstrom
3.881 0.000 0.000
0.000 3.881 0.000
0.000 0.000 9.724
ATOMIC_POSITIONS crystal
Sr 0.000 0.000 0.190
Sr 0.000 0.000 0.810
Ca 0.500 0.500 0.500
Zn 0.500 0.500 0.000
```

Computed properties:
**Symmetry**: P4/mmm, No. 123

Here is SrCaZn2 at its PBEsol-relaxed geometry from the Alexandria database. Energies are from meta-GGA SCAN. Values from VASP.

```
&SYSTEM
  ibrav = 0, nat = 8, ntyp = 3
/
ATOMIC_SPECIES
Sr 87.62 Sr.upf
Ca 40.08 Ca.upf
Zn 65.41 Zn.upf
CELL_PARAMETERS angstrom
4.468 0.000 0.000
0.000 6.074 0.000
0.000 0.000 8.174
ATOMIC_POSITIONS crystal
Sr 0.000 0.133 0.000
Sr 0.000 0.867 0.500
Ca 0.500 0.368 0.356
Ca 0.500 0.632 0.856
Zn 0.000 0.362 0.647
Zn 0.000 0.638 0.147
Zn 0.500 0.163 0.701
Zn 0.500 0.837 0.201
```

Computed properties:
**Symmetry**: Pmc2_1, No. 26

Here is SrCaZn2 at its PBEsol-relaxed geometry from the Alexandria database. Energies are from meta-GGA SCAN. Values from VASP.

```
&SYSTEM
  ibrav = 0, nat = 4, ntyp = 3
/
ATOMIC_SPECIES
Sr 87.62 Sr.upf
Ca 40.08 Ca.upf
Zn 65.41 Zn.upf
CELL_PARAMETERS angstrom
5.262 0.000 0.000
0.000 5.262 0.000
0.000 0.000 3.722
ATOMIC_POSITIONS crystal
Sr 0.000 0.000 0.000
Ca 0.500 0.500 0.000
Zn 0.000 0.500 0.500
Zn 0.500 0.000 0.500
```

Computed properties:
**Symmetry**: P4/mmm, No. 123

Here is Sr2CaZn2 at its PBEsol-relaxed geometry from the Alexandria database. Energies are from meta-GGA SCAN. Values from VASP.

```
&SYSTEM
  ibrav = 0, nat = 10, ntyp = 3
/
ATOMIC_SPECIES
Sr 87.62 Sr.upf
Ca 40.08 Ca.upf
Zn 65.41 Zn.upf
CELL_PARAMETERS angstrom
8.110 0.000 0.000
0.000 8.110 0.000
0.000 0.000 4.805
ATOMIC_POSITIONS crystal
Sr 0.173 0.327 0.000
Sr 0.327 0.827 0.000
Sr 0.673 0.173 0.000
Sr 0.827 0.673 0.000
Ca 0.000 0.000 0.500
Ca 0.500 0.500 0.500
Zn 0.114 0.614 0.500
Zn 0.386 0.114 0.500
Zn 0.614 0.886 0.500
Zn 0.886 0.386 0.500
```

Computed properties:
**Symmetry**: P4/mbm, No. 127

The following Fermi-level density of states values (in states/eV/f.u.) correspond, in order, to the records above: 6.793; 1.723; 3.674; 3.258; 2.291; 4.769.
The following energy relative to the elements values (in kJ/mol of formula units) correspond, in order, to the records above: 423; -32; -41; -98; -84; -85.